Entry 1:
Compound: AcOsAu
Source: the Open Quantum Materials Database
Functional: PBE
Structure: optimized geometry

Values from the calculation:
Formation energy from the elements in eV per formula unit: 3.00
Crystal system: cubic
Magnetic moment in μB/cell: 0.41
Theoretical density in Mg/m³: 12.23
Polymorph energy (0 for the lowest one) in meV per atom: 425.0

Lattice parameters (Å, degrees): 4.9043 4.9043 4.9043 60.00 60.00 60.00
Last column: nearest neighbours and their distance in Å.
Atoms (fractional coordinates):
Ac 0.0000 0.0000 0.0000  4 Os 3.00, 4 Au 3.00
Au 0.2500 0.2500 0.2500  4 Ac 3.00
Os 0.7500 0.7500 0.7500  4 Ac 3.00



Entry 2:
Compound: AcOsAu
Source: the Open Quantum Materials Database
Functional: PBE
Structure: optimized geometry

Values from the calculation:
Formation energy from the elements in eV per formula unit: 1.73
Crystal system: cubic
Magnetic moment in μB/cell: 0.70
Theoretical density in Mg/m³: 12.81
Polymorph energy (0 for the lowest one) in meV per atom: 0.0

Lattice parameters (Å, degrees): 4.8290 4.8290 4.8290 60.00 60.00 60.00
Last column: nearest neighbours and their distance in Å.
Atoms (fractional coordinates):
Ac 0.2500 0.2500 0.2500  4 Au 2.96
Au 0.0000 0.0000 0.0000  4 Os 2.96, 4 Ac 2.96
Os 0.7500 0.7500 0.7500  4 Au 2.96



- Which value of theoretical density does entry 1 give?
  12.23 Mg/m³



- What is the formula in the second record?
  AcOsAu



- Look up the formation energy from the elements of the first one.
  3.00 eV per formula unit



- Among the records above, which one has the highest theoretical density?
  number 2